Compound: LiTe
Source: the Alexandria database
Functional: PBE-GGA
Structure: optimized geometry Values from VASP.

The structure in Quantum ESPRESSO input format:
```
&SYSTEM
  ibrav = 0, nat = 2, ntyp = 2
/
ATOMIC_SPECIES
Li 6.94 Li.upf
Te 127.60 Te.upf
CELL_PARAMETERS angstrom
-0.928 -2.835 -0.664
4.185 -1.610 1.542
-3.084 1.830 3.091
ATOMIC_POSITIONS crystal
Li 0.479 0.414 0.523
Te 0.280 0.727 0.149
```

Results
Fermi-level density of states   0.48 states/eV/f.u.
Formation energy without anion corrections   -0.6466 eV/atom
Space group   P1, No. 1

Compound: ReAg2PbO6
Source: the Alexandria database
Functional: PBE-GGA
Structure: optimized geometry Values from VASP.

The structure in Quantum ESPRESSO input format:
```
&SYSTEM
  ibrav = 0, nat = 10, ntyp = 4
/
ATOMIC_SPECIES
Re 186.21 Re.upf
Ag 107.87 Ag.upf
Pb 207.20 Pb.upf
O 16.00 O.upf
CELL_PARAMETERS angstrom
5.845 -0.149 -0.250
2.794 4.999 -0.096
2.670 1.646 5.024
ATOMIC_POSITIONS crystal
Re 0.306 0.309 0.069
Ag 0.507 0.528 0.440
Ag 0.040 0.049 0.808
Pb 0.780 0.802 0.600
O 0.559 0.264 0.211
O 0.291 0.964 0.236
O 0.026 0.511 0.259
O 0.398 0.674 0.786
O 0.637 0.164 0.774
O 0.116 0.397 0.831
```

Results
Fermi-level density of states   3.28 states/eV/f.u.
Formation energy without anion corrections   -0.8843 eV/atom
Space group   P1, No. 1

Compound: Pm2PrIn2Hg2
Source: the Alexandria database
Functional: PBE-GGA
Structure: optimized geometry Values from VASP.

The structure in Quantum ESPRESSO input format:
```
&SYSTEM
  ibrav = 0, nat = 7, ntyp = 4
/
ATOMIC_SPECIES
Pm 145.00 Pm.upf
Pr 140.91 Pr.upf
In 114.82 In.upf
Hg 200.59 Hg.upf
CELL_PARAMETERS angstrom
-0.234 -3.313 -3.721
4.149 -2.269 -1.583
-0.065 -8.628 4.343
ATOMIC_POSITIONS crystal
Pm 0.131 0.131 0.606
Pm 0.869 0.869 0.394
Pr 0.000 0.000 0.000
In 0.733 0.733 0.802
In 0.267 0.267 0.198
Hg 0.578 0.578 0.266
Hg 0.422 0.422 0.734
```

Results
E_form   -2.24 eV/f.u.
Fermi-level density of states   4.09 states/eV/f.u.
Space group   R-3m, No. 166

Compound: Li3RhN
Source: the Alexandria database
Functional: PBE-GGA
Structure: optimized geometry Values from VASP.

The structure in Quantum ESPRESSO input format:
```
&SYSTEM
  ibrav = 0, nat = 5, ntyp = 3
/
ATOMIC_SPECIES
Li 6.94 Li.upf
Rh 102.91 Rh.upf
N 14.01 N.upf
CELL_PARAMETERS angstrom
4.708 0.000 0.000
0.000 4.708 0.000
0.000 0.000 4.708
ATOMIC_POSITIONS crystal
Li 0.000 0.500 0.000
Li 0.000 0.000 0.500
Li 0.500 0.000 0.000
Rh 0.000 0.000 0.000
N 0.500 0.500 0.500
```

Results
Fermi-level density of states   3.03 states/eV/f.u.
Formation energy without anion corrections   1.2039 eV/atom
Space group   Pm-3m, No. 221

Compound: Sc4ZnCdAu2
Source: the Alexandria database
Functional: PBE-GGA
Structure: optimized geometry Values from VASP.

The structure in Quantum ESPRESSO input format:
```
&SYSTEM
  ibrav = 0, nat = 8, ntyp = 4
/
ATOMIC_SPECIES
Sc 44.96 Sc.upf
Zn 65.41 Zn.upf
Cd 112.41 Cd.upf
Au 196.97 Au.upf
CELL_PARAMETERS angstrom
-3.523 -1.062 3.144
0.236 -4.065 2.617
2.798 2.171 7.594
ATOMIC_POSITIONS crystal
Sc 0.379 0.379 0.864
Sc 0.872 0.872 0.385
Sc 0.128 0.128 0.615
Sc 0.621 0.621 0.136
Zn 0.500 0.500 0.500
Cd 0.000 0.000 0.000
Au 0.749 0.749 0.754
Au 0.251 0.251 0.246
```

Results
E_form   -4.49 eV/f.u.
Fermi-level density of states   6.59 states/eV/f.u.
Space group   R-3m, No. 166

Compound: SiTcPb
Source: the Alexandria database
Functional: PBE-GGA
Structure: optimized geometry Values from VASP.

The structure in Quantum ESPRESSO input format:
```
&SYSTEM
  ibrav = 0, nat = 3, ntyp = 3
/
ATOMIC_SPECIES
Pb 207.20 Pb.upf
Si 28.09 Si.upf
Tc 98.00 Tc.upf
CELL_PARAMETERS angstrom
-0.125 -2.292 -3.480
3.466 2.092 0.995
1.291 -3.082 1.983
ATOMIC_POSITIONS crystal
Pb 0.000 0.000 0.000
Si 0.667 0.333 0.500
Tc 0.333 0.667 0.500
```

Results
Fermi-level density of states   3.14 states/eV/f.u.
Formation energy without anion corrections   0.3689 eV/atom
Space group   P-6m2, No. 187

Compound: SrCdI2O
Source: the Alexandria database
Functional: PBE-GGA
Structure: optimized geometry Values from VASP.

The structure in Quantum ESPRESSO input format:
```
&SYSTEM
  ibrav = 0, nat = 5, ntyp = 4
/
ATOMIC_SPECIES
I 126.90 I.upf
Sr 87.62 Sr.upf
O 16.00 O.upf
Cd 112.41 Cd.upf
CELL_PARAMETERS angstrom
6.481 0.000 0.000
0.000 6.481 0.000
0.000 0.000 4.490
ATOMIC_POSITIONS crystal
I 0.000 0.500 0.000
I 0.500 0.000 0.000
Sr 0.000 0.000 0.000
O 0.000 0.000 0.500
Cd 0.500 0.500 0.500
```

Results
Fermi-level density of states   6.30 states/eV/f.u.
Formation energy without anion corrections   -0.6767 eV/atom
Space group   P4/mmm, No. 123

Compound: ScAsSe2
Source: the Alexandria database
Functional: PBE-GGA
Structure: optimized geometry Values from VASP.

The structure in Quantum ESPRESSO input format:
```
&SYSTEM
  ibrav = 0, nat = 4, ntyp = 3
/
ATOMIC_SPECIES
As 74.92 As.upf
Sc 44.96 Sc.upf
Se 78.96 Se.upf
CELL_PARAMETERS angstrom
7.287 0.033 0.000
5.023 5.279 0.000
-6.156 -2.654 2.856
ATOMIC_POSITIONS crystal
As 0.250 0.750 0.500
Sc 0.750 0.250 0.500
Se 0.111 0.111 0.000
Se 0.389 0.389 0.000
```

Results
Fermi-level density of states   0.28 states/eV/f.u.
Formation energy without anion corrections   -0.7966 eV/atom
Space group   Immm, No. 71

Compound: Sr4TaPb
Source: the Alexandria database
Functional: PBE-GGA
Structure: optimized geometry Values from VASP.

The structure in Quantum ESPRESSO input format:
```
&SYSTEM
  ibrav = 0, nat = 6, ntyp = 3
/
ATOMIC_SPECIES
Sr 87.62 Sr.upf
Ta 180.95 Ta.upf
Pb 207.20 Pb.upf
CELL_PARAMETERS angstrom
0.000 4.846 4.846
4.846 0.000 4.846
4.846 4.846 0.000
ATOMIC_POSITIONS crystal
Sr 0.874 0.375 0.375
Sr 0.375 0.375 0.874
Sr 0.375 0.874 0.375
Sr 0.375 0.375 0.375
Ta 0.750 0.750 0.750
Pb 0.000 0.000 0.000
```

Results
E_form   5.57 eV/f.u.
Fermi-level density of states   5.56 states/eV/f.u.
Space group   F-43m, No. 216

Compound: Er4Tl2InRh
Source: the Alexandria database
Functional: PBE-GGA
Structure: optimized geometry Values from VASP.

The structure in Quantum ESPRESSO input format:
```
&SYSTEM
  ibrav = 0, nat = 8, ntyp = 4
/
ATOMIC_SPECIES
Er 167.26 Er.upf
Tl 204.38 Tl.upf
In 114.82 In.upf
Rh 102.91 Rh.upf
CELL_PARAMETERS angstrom
5.229 0.000 0.000
2.615 4.529 0.000
2.615 1.510 8.375
ATOMIC_POSITIONS crystal
Er 0.386 0.386 0.842
Er 0.869 0.869 0.394
Er 0.131 0.131 0.606
Er 0.614 0.614 0.158
Tl 0.745 0.745 0.766
Tl 0.255 0.255 0.234
In 0.000 0.000 0.000
Rh 0.500 0.500 0.500
```

Results
E_form   -3.68 eV/f.u.
Fermi-level density of states   3.80 states/eV/f.u.
Space group   R-3m, No. 166

Compound: TcOsBr2
Source: the Alexandria database
Functional: PBE-GGA
Structure: optimized geometry Values from VASP.

The structure in Quantum ESPRESSO input format:
```
&SYSTEM
  ibrav = 0, nat = 4, ntyp = 3
/
ATOMIC_SPECIES
Os 190.23 Os.upf
Tc 98.00 Tc.upf
Br 79.90 Br.upf
CELL_PARAMETERS angstrom
-2.786 0.967 0.613
-1.144 -2.408 -1.401
0.120 -4.578 7.768
ATOMIC_POSITIONS crystal
Os 0.000 0.000 0.541
Tc 0.500 0.500 0.713
Br 0.000 0.000 0.918
Br 0.500 0.500 0.328
```

Results
Fermi-level density of states   1.16 states/eV/f.u.
Formation energy without anion corrections   0.4015 eV/atom
Space group   P4mm, No. 99

Compound: Ru2IBr
Source: the Alexandria database
Functional: PBE-GGA
Structure: optimized geometry Values from VASP.

The structure in Quantum ESPRESSO input format:
```
&SYSTEM
  ibrav = 0, nat = 12, ntyp = 3
/
ATOMIC_SPECIES
I 126.90 I.upf
Ru 101.07 Ru.upf
Br 79.90 Br.upf
CELL_PARAMETERS angstrom
3.827 0.000 0.000
-1.914 3.315 0.000
0.000 0.000 25.437
ATOMIC_POSITIONS crystal
I 0.000 0.000 0.466
I 0.333 0.667 0.133
I 0.667 0.333 0.800
Ru 0.000 0.000 0.732
Ru 0.333 0.667 0.399
Ru 0.667 0.333 0.066
Ru 0.000 0.000 0.027
Ru 0.333 0.667 0.693
Ru 0.667 0.333 0.360
Br 0.000 0.000 0.935
Br 0.333 0.667 0.601
Br 0.667 0.333 0.268
```

Results
Fermi-level density of states   4.38 states/eV/f.u.
Formation energy without anion corrections   0.2929 eV/atom
Space group   R3m, No. 160

> Which of these has the highest Fermi-level density of states?

Sc4ZnCdAu2

> Which formula does entry 3 have?

Pm2PrIn2Hg2

> Number 9 is which compound?

Sr4TaPb